No. 1
A plane-wave DFT calculation with PBE-GGA was carried out for an optimized crystal structure of Pr4SmGa4.

Its space group is No. 87.

Cell lengths 4.8690, 10.4118, 10.4118 Å; angles 90.00, 90.00, 90.00 degrees
Element x y z (fractional)
Pr: 0.5000 0.3658 0.8535
Pr: 0.0000 0.6465 0.8658
Pr: 0.5000 0.6342 0.1465
Pr: 0.0000 0.1342 0.6465
Pr: 0.5000 0.8535 0.6342
Pr: 0.0000 0.8658 0.3535
Pr: 0.0000 0.3535 0.1342
Pr: 0.5000 0.1465 0.3658
Sm: 0.0000 0.0000 0.0000
Sm: 0.5000 0.5000 0.5000
Ga: 0.5000 0.9300 0.1673
Ga: 0.5000 0.0700 0.8327
Ga: 0.0000 0.6673 0.5700
Ga: 0.0000 0.4300 0.6673
Ga: 0.0000 0.5700 0.3327
Ga: 0.5000 0.1673 0.0700
Ga: 0.5000 0.8327 0.9300
Ga: 0.0000 0.3327 0.4300

=====

No. 2
A plane-wave DFT calculation with PBE-GGA was carried out for an optimized crystal structure of Pr6SmGa.

Its space group is No. 2.

Cell lengths 8.7967, 9.5847, 6.5014 Å; angles 42.51, 47.50, 56.96 degrees
Element x y z (fractional)
Pr: 0.9612 0.5728 0.7010
Pr: 0.7651 0.9620 0.8466
Pr: 0.5738 0.2354 0.2284
Pr: 0.2349 0.0380 0.1534
Pr: 0.0388 0.4272 0.2990
Pr: 0.4262 0.7646 0.7716
Sm: 0.5000 0.5000 0.5000
Ga: 0.0000 0.0000 0.0000

=====

No. 3
A plane-wave DFT calculation with PBE-GGA was carried out for an optimized crystal structure of Pr2Sm8Ga.

Its space group is No. 12.

Cell lengths 5.5672, 7.5623, 9.9167 Å; angles 112.37, 106.30, 90.00 degrees
Element x y z (fractional)
Pr: 0.8085 0.3087 0.6170
Pr: 0.1915 0.6913 0.3830
Sm: 0.3702 0.6061 0.7404
Sm: 0.6302 0.8669 0.2604
Sm: 0.8189 0.8186 0.6379
Sm: 0.9999 0.2435 0.9998
Sm: 0.1811 0.1814 0.3621
Sm: 0.3698 0.1331 0.7396
Sm: 0.6298 0.3939 0.2596
Sm: 0.0001 0.7565 0.0002
Ga: 0.5000 0.0000 0.0000

=====

No. 4
A plane-wave DFT calculation with PBE-GGA was carried out for an optimized crystal structure of Pr3Sm4Ga4.

Its space group is No. 71.

Cell lengths 4.4550, 8.1318, 9.8530 Å; angles 114.37, 103.07, 90.00 degrees
Element x y z (fractional)
Pr: 0.1070 0.1070 0.2140
Pr: 0.8930 0.8930 0.7860
Pr: 0.0000 0.5000 0.0000
Sm: 0.3333 0.1312 0.6667
Sm: 0.6667 0.4646 0.3333
Sm: 0.6667 0.8688 0.3333
Sm: 0.3333 0.5354 0.6667
Ga: 0.2370 0.7370 0.4740
Ga: 0.7630 0.2630 0.5260
Ga: 0.5000 0.8123 0.0000
Ga: 0.5000 0.1877 0.0000

=====

No. 5
A plane-wave DFT calculation with PBE-GGA was carried out for an optimized crystal structure of PrSmGa.

The value obtained for the offset from the most stable computed form is 159 meV per atom. Its space group is No. 216.

Cell lengths 5.0984, 5.0984, 5.0984 Å; angles 60.00, 60.00, 60.00 degrees
Element x y z (fractional)
Pr: 0.5000 0.5000 0.5000
Ga: 0.2500 0.2500 0.2500
Sm: 0.0000 0.0000 0.0000

=====

No. 6
A plane-wave DFT calculation with PBE-GGA was carried out for an optimized crystal structure of Pr2SmGa6.

Its space group is No. 191.

Cell lengths 4.3175, 7.4105, 7.4105 Å; angles 120.00, 90.00, 90.00 degrees
Element x y z (fractional)
Pr: 0.0000 0.3333 0.6667
Pr: 0.0000 0.6667 0.3333
Sm: 0.0000 0.0000 0.0000
Ga: 0.5000 0.3325 0.3325
Ga: 0.5000 0.6675 0.6675
Ga: 0.5000 0.0000 0.6675
Ga: 0.5000 0.6675 0.0000
Ga: 0.5000 0.3325 0.0000
Ga: 0.5000 0.0000 0.3325

=====

| no. | DFT formation energy (eV per atom) | density (g cm⁻³) |
| --- | --- | --- |
| 1 | -0.393 | 6.25 |
| 2 | -0.037 | 6.51 |
| 3 | -0.013 | 7.02 |
| 4 | -0.350 | 6.87 |
| 5 | -0.238 | 6.40 |
| 6 | -0.684 | 6.88 |